Density functional theory data (PBE) for DyTaZn4 after structural relaxation.

Computed properties:
- Crystal system: cubic
- Symmetry: No. 216
- VASP energy: -22.05 eV for the cell shown

a b c (Å): 5.251 5.251 5.251
angles (deg): 60.00 60.00 60.00
Element x y z (fractional)
Dy: 0.000 0.000 0.000
Ta: 0.750 0.750 0.750
Zn: 0.376 0.376 0.376
Zn: 0.376 0.376 0.872
Zn: 0.376 0.872 0.376
Zn: 0.872 0.376 0.376

Density functional theory data (PBE) for Be3GeOs after structural relaxation.

Computed properties:
- Crystal system: cubic
- Symmetry: No. 221
- Distance to the lowest polymorph of the same formula: 637 meV per atom
- VASP energy: -20.22 eV for the cell shown

a b c (Å): 4.066 4.066 4.066
angles (deg): 90.00 90.00 90.00
Element x y z (fractional)
Be: 0.000 0.000 0.500
Be: 0.000 0.500 0.000
Be: 0.500 0.000 0.000
Ge: 0.000 0.000 0.000
Os: 0.500 0.500 0.500

Density functional theory data (PBE) for Zr3HPb2 after structural relaxation.

Computed properties:
- Crystal system: orthorhombic
- Symmetry: No. 63
- VASP energy: -73.48 eV for the cell shown

a b c (Å): 6.691 6.691 5.929
angles (deg): 90.00 90.00 74.19
Element x y z (fractional)
Zr: 0.170 0.830 0.750
Zr: 0.353 0.353 0.000
Zr: 0.353 0.353 0.500
Zr: 0.647 0.647 0.000
Zr: 0.647 0.647 0.500
Zr: 0.830 0.170 0.250
H: 0.431 0.569 0.750
H: 0.569 0.431 0.250
Pb: 0.026 0.689 0.250
Pb: 0.311 0.974 0.250
Pb: 0.689 0.026 0.750
Pb: 0.974 0.311 0.750

Density functional theory data (PBE) for CaTc2Rh after structural relaxation.

Computed properties:
- Crystal system: tetragonal
- Symmetry: No. 123
- Distance to the lowest polymorph of the same formula: 496 meV per atom
- VASP energy: -27.42 eV for the cell shown

a b c (Å): 4.868 4.868 2.787
angles (deg): 90.00 90.00 90.00
Element x y z (fractional)
Ca: 0.000 0.000 0.000
Tc: 0.000 0.500 0.500
Tc: 0.500 0.000 0.500
Rh: 0.500 0.500 0.000

Density functional theory data (PBE) for ReGe2S after structural relaxation.

Computed properties:
- Crystal system: tetragonal
- Symmetry: No. 122
- VASP energy: -93.29 eV for the cell shown

a b c (Å): 5.755 5.755 10.995
angles (deg): 90.00 90.00 90.00
Element x y z (fractional)
Re: 0.000 0.000 0.000
Re: 0.000 0.500 0.250
Re: 0.500 0.000 0.750
Re: 0.500 0.500 0.500
Ge: 0.235 0.250 0.125
Ge: 0.250 0.735 0.375
Ge: 0.250 0.765 0.875
Ge: 0.265 0.250 0.625
Ge: 0.735 0.750 0.625
Ge: 0.750 0.235 0.875
Ge: 0.750 0.265 0.375
Ge: 0.765 0.750 0.125
S: 0.000 0.000 0.500
S: 0.000 0.500 0.750
S: 0.500 0.000 0.250
S: 0.500 0.500 0.000

Density functional theory data (PBE) for LaYMg2 after structural relaxation.

Computed properties:
- Crystal system: tetragonal
- Symmetry: No. 122
- VASP energy: -53.97 eV for the cell shown

a b c (Å): 8.831 8.831 6.308
angles (deg): 90.00 90.00 90.00
Element x y z (fractional)
La: 0.000 0.000 0.000
La: 0.000 0.500 0.250
La: 0.500 0.000 0.750
La: 0.500 0.500 0.500
Y: 0.000 0.000 0.500
Y: 0.000 0.500 0.750
Y: 0.500 0.000 0.250
Y: 0.500 0.500 0.000
Mg: 0.239 0.750 0.625
Mg: 0.250 0.239 0.375
Mg: 0.250 0.261 0.875
Mg: 0.261 0.750 0.125
Mg: 0.739 0.250 0.125
Mg: 0.750 0.739 0.875
Mg: 0.750 0.761 0.375
Mg: 0.761 0.250 0.625

Density functional theory data (PBE) for La5Ho6Er2 after structural relaxation.

Computed properties:
- Crystal system: orthorhombic
- Symmetry: No. 55
- VASP energy: -119.95 eV for the cell shown

a b c (Å): 11.662 20.733 3.623
angles (deg): 90.00 90.00 90.00
Element x y z (fractional)
La: 0.000 0.000 0.000
La: 0.078 0.271 0.000
La: 0.199 0.549 0.000
La: 0.301 0.049 0.000
La: 0.422 0.771 0.000
La: 0.500 0.500 0.000
La: 0.578 0.229 0.000
La: 0.699 0.951 0.000
La: 0.801 0.451 0.000
La: 0.922 0.729 0.000
Ho: 0.063 0.418 0.500
Ho: 0.079 0.131 0.500
Ho: 0.176 0.859 0.000
Ho: 0.324 0.359 0.000
Ho: 0.421 0.631 0.500
Ho: 0.437 0.918 0.500
Ho: 0.563 0.082 0.500
Ho: 0.579 0.369 0.500
Ho: 0.676 0.641 0.000
Ho: 0.824 0.141 0.000
Ho: 0.921 0.869 0.500
Ho: 0.937 0.582 0.500
Er: 0.175 0.710 0.500
Er: 0.325 0.210 0.500
Er: 0.675 0.790 0.500
Er: 0.825 0.290 0.500

Density functional theory data (PBE) for Sc4SbBr after structural relaxation.

Computed properties:
- Crystal system: cubic
- Symmetry: No. 216
- VASP energy: -31.12 eV for the cell shown

a b c (Å): 5.961 5.961 5.961
angles (deg): 60.00 60.00 60.00
Element x y z (fractional)
Sc: 0.377 0.377 0.377
Sc: 0.377 0.377 0.870
Sc: 0.377 0.870 0.377
Sc: 0.870 0.377 0.377
Sb: 0.750 0.750 0.750
Br: 0.000 0.000 0.000